A relaxed structure of KBaCr2O8, computed with PBE+U.

Properties
As for the total energy: -6.37 eV per atom. The value obtained for the mass density is 3.279 Mg/m³.

Unit cell a=5.9134 b=5.9134 c=20.4871 alpha=90.00 beta=90.00 gamma=120.00
Space group R-3 (No. 148, hexagonal axes)
Symmetry-distinct sites (fractional):
K: 0.0000 0.0000 0.0000 (multiplicity 3)
Ba: 0.0000 0.0000 0.5000 (multiplicity 3)
Cr: 0.0000 0.0000 0.2380 (multiplicity 6)
O: 0.0000 0.0000 0.1568 (multiplicity 6)
O: 0.0324 0.5770 0.9300 (multiplicity 18)